Entry 1:
Density functional theory data (PBE) for an optimized crystal structure of TcAg2BrF.

Cell: 5.1948 4.7955 5.1948 Å, 90.00 90.00 90.00°
Closest atoms and distances in Å follow each position.
Positions (direct):
Br 0.0000 0.0000 0.0000  2 Tc 2.40, 4 Ag 2.60
Tc 0.0000 0.5000 0.0000  2 Br 2.40
Ag 0.0000 0.0000 0.5000  2 Br 2.60
Ag 0.5000 0.0000 0.0000  2 Br 2.60
F 0.5000 0.5000 0.5000  8 Ag 3.53, 4 Tc 3.67

**E**: -15.40 eV/cell
**Uncorrected formation energy**: 843 meV per atom
**SG**: P4/mmm, No. 123


Entry 2:
Density functional theory data (PBE) for an optimized crystal structure of CaNp2CrN4.

Cell: 3.4014 5.9584 11.5426 Å, 90.00 90.00 106.58°
Closest atoms and distances in Å follow each position.
Positions (direct):
Ca 0.0955 0.1910 0.7500  6 N 2.60-2.82
Ca 0.9045 0.8090 0.2500  6 N 2.60-2.82
Np 0.3687 0.7375 0.5505  6 N 2.27-2.39
Np 0.6313 0.2625 0.0505  6 N 2.27-2.39
Np 0.6313 0.2625 0.4495  6 N 2.27-2.39
Np 0.3687 0.7375 0.9495  6 N 2.27-2.39
Cr 0.8315 0.6631 0.7500  4 N 1.89-2.00
Cr 0.1685 0.3369 0.2500  4 N 1.89-2.00
N 0.2618 0.5235 0.1150  1 Cr 1.89
N 0.7382 0.4765 0.6150  1 Cr 1.89
N 0.7382 0.4765 0.8850  1 Cr 1.89
N 0.2618 0.5235 0.3850  1 Cr 1.89
N 0.0000 0.0000 0.5000  4 Np 2.34
N 0.0000 0.0000 0.0000  4 Np 2.34
N 0.4239 0.8477 0.7500  2 Cr 2.00
N 0.5761 0.1523 0.2500  2 Cr 2.00

**E**: -156.32 eV/cell
**Uncorrected formation energy**: -919 meV per atom
**SG**: Cmcm, No. 63


Entry 3:
Density functional theory data (PBE) for an optimized crystal structure of Al4AgAs.

Cell: 5.3743 5.3743 5.3743 Å, 60.00 60.00 60.00°
Closest atoms and distances in Å follow each position.
Positions (direct):
Al 0.6253 0.6253 0.1241  6 Al 2.68-2.69
Al 0.6253 0.1241 0.6253  6 Al 2.68-2.69
Al 0.6253 0.6253 0.6253  6 Al 2.68-2.69
Al 0.1241 0.6253 0.6253  6 Al 2.68-2.69
Ag 0.0000 0.0000 0.0000  12 Al 3.15, 4 As 3.29
As 0.2500 0.2500 0.2500  12 Al 3.15, 4 Ag 3.29

**Energy relative to the elements**: 0.251 eV per atom
**E**: -20.97 eV/cell
**SG**: F-43m, No. 216